Record 1
The following is a PBE-GGA calculation of LaBePt3 after structural relaxation, from Alexandria.

a b c (Å): 6.549 6.549 5.433
angles (deg): 114.49 114.49 68.95
Atoms (fractional coordinates):
La 0.205 0.205 0.455
La 0.795 0.795 0.545
Be 0.407 0.407 0.158
Be 0.593 0.593 0.842
Pt 0.000 0.500 0.000
Pt 0.279 0.721 0.000
Pt 0.279 0.721 0.500
Pt 0.500 0.000 0.000
Pt 0.721 0.279 0.000
Pt 0.721 0.279 0.500

Space group: C2/m, No. 12
Uncorrected energy in Ry/atom: -0.464
ΔH_f (0 K) in kJ/mol of atoms: -91.8
Distance to the lowest polymorph of the same formula in kJ/mol of formula units: 0



Record 2
The following is a PBE-GGA calculation of LaBePt after structural relaxation, from Alexandria.

a b c (Å): 3.920 5.817 6.116
angles (deg): 94.46 108.59 109.29
Atoms (fractional coordinates):
La 0.237 0.177 0.289
La 0.763 0.823 0.711
Be 0.367 0.650 0.086
Be 0.633 0.350 0.914
Pt 0.044 0.375 0.710
Pt 0.956 0.625 0.290

Space group: P-1, No. 2
Uncorrected energy in Ry/atom: -0.415
ΔH_f (0 K) in kJ/mol of atoms: -71.5
Distance to the lowest polymorph of the same formula in kJ/mol of formula units: 9



Record 3
The following is a PBE-GGA calculation of LaBePt3 after structural relaxation, from Alexandria.

a b c (Å): 5.222 5.222 5.222
angles (deg): 90.00 90.00 90.00
Atoms (fractional coordinates):
La 0.000 0.000 0.000
Be 0.500 0.500 0.500
Pt 0.000 0.000 0.500
Pt 0.000 0.500 0.000
Pt 0.500 0.000 0.000

Space group: Pm-3m, No. 221
Uncorrected energy in Ry/atom: -0.294
ΔH_f (0 K) in kJ/mol of atoms: 130.2
Distance to the lowest polymorph of the same formula in kJ/mol of formula units: 1110



Record 4
The following is a PBE-GGA calculation of La2BePt after structural relaxation, from Alexandria.

a b c (Å): 4.127 4.127 7.931
angles (deg): 105.22 105.22 60.13
Atoms (fractional coordinates):
La 0.245 0.245 0.236
La 0.755 0.755 0.764
Be 0.000 0.000 0.500
Pt 0.500 0.500 0.000

Space group: C2/m, No. 12
Uncorrected energy in Ry/atom: -0.382
ΔH_f (0 K) in kJ/mol of atoms: -27.6



Record 5
The following is a PBE-GGA calculation of LaBePt after structural relaxation, from Alexandria.

a b c (Å): 4.308 4.308 6.527
angles (deg): 90.00 90.00 101.30
Atoms (fractional coordinates):
La 0.250 0.750 0.837
La 0.750 0.250 0.163
Be 0.250 0.250 0.500
Be 0.750 0.750 0.500
Pt 0.250 0.750 0.338
Pt 0.750 0.250 0.662

Space group: Cmme, No. 67
Uncorrected energy in Ry/atom: -0.415
ΔH_f (0 K) in kJ/mol of atoms: -72.0
Distance to the lowest polymorph of the same formula in kJ/mol of formula units: 8



Record 6
The following is a PBE-GGA calculation of LaBePt3 after structural relaxation, from Alexandria.

a b c (Å): 4.471 5.461 7.845
angles (deg): 88.46 78.81 85.13
Atoms (fractional coordinates):
La 0.000 0.000 0.000
La 0.295 0.718 0.444
Be 0.354 0.193 0.613
Be 0.632 0.414 0.749
Pt 0.105 0.493 0.804
Pt 0.459 0.222 0.301
Pt 0.520 0.573 0.024
Pt 0.613 0.864 0.733
Pt 0.883 0.213 0.511
Pt 0.969 0.470 0.198

Space group: P1, No. 1
Uncorrected energy in Ry/atom: -0.457
ΔH_f (0 K) in kJ/mol of atoms: -83.8
Distance to the lowest polymorph of the same formula in kJ/mol of formula units: 40



Record 7
The following is a PBE-GGA calculation of LaBePt3 after structural relaxation, from Alexandria.

a b c (Å): 6.035 6.035 8.196
angles (deg): 110.10 110.10 39.91
Atoms (fractional coordinates):
La 0.000 0.000 0.000
La 0.000 0.000 0.500
Be 0.353 0.353 0.678
Be 0.647 0.647 0.322
Pt 0.250 0.250 0.375
Pt 0.251 0.251 0.875
Pt 0.434 0.434 0.217
Pt 0.566 0.566 0.783
Pt 0.749 0.749 0.125
Pt 0.750 0.750 0.625

Space group: C2/m, No. 12
Uncorrected energy in Ry/atom: -0.463
ΔH_f (0 K) in kJ/mol of atoms: -91.2
Distance to the lowest polymorph of the same formula in kJ/mol of formula units: 3



Record 8
The following is a PBE-GGA calculation of LaBePt3 after structural relaxation, from Alexandria.

a b c (Å): 7.134 4.401 5.741
angles (deg): 90.00 90.00 90.00
Atoms (fractional coordinates):
La 0.250 0.000 0.048
La 0.750 0.000 0.952
Be 0.250 0.500 0.442
Be 0.750 0.500 0.558
Pt 0.027 0.500 0.752
Pt 0.250 0.000 0.552
Pt 0.473 0.500 0.752
Pt 0.527 0.500 0.248
Pt 0.750 0.000 0.448
Pt 0.973 0.500 0.248

Space group: Pmma, No. 51
Uncorrected energy in Ry/atom: -0.449
ΔH_f (0 K) in kJ/mol of atoms: -72.5
Distance to the lowest polymorph of the same formula in kJ/mol of formula units: 96



Record 9
The following is a PBE-GGA calculation of La2BePt after structural relaxation, from Alexandria.

a b c (Å): 3.310 3.310 8.623
angles (deg): 90.00 90.00 90.00
Atoms (fractional coordinates):
La 0.000 0.000 0.000
La 0.500 0.500 0.402
Be 0.500 0.500 0.747
Pt 0.000 0.000 0.650

Space group: P4mm, No. 99
Uncorrected energy in Ry/atom: -0.383
ΔH_f (0 K) in kJ/mol of atoms: -29.7



Record 10
The following is a PBE-GGA calculation of La2BePt after structural relaxation, from Alexandria.

a b c (Å): 4.547 4.141 5.675
angles (deg): 90.00 113.50 90.00
Atoms (fractional coordinates):
La 0.000 0.000 0.000
La 0.299 0.500 0.596
Be 0.602 0.500 0.203
Pt 0.702 0.000 0.407

Space group: Pm, No. 6
Uncorrected energy in Ry/atom: -0.402
ΔH_f (0 K) in kJ/mol of atoms: -54.4



Record 11
The following is a PBE-GGA calculation of LaBePt2 after structural relaxation, from Alexandria.

a b c (Å): 3.009 3.174 7.182
angles (deg): 90.00 90.00 90.00
Atoms (fractional coordinates):
La 0.000 0.000 0.000
Be 0.000 0.000 0.500
Pt 0.500 0.500 0.312
Pt 0.500 0.500 0.688

Space group: Pmmm, No. 47
Uncorrected energy in Ry/atom: -0.427
ΔH_f (0 K) in kJ/mol of atoms: -60.1



Record 12
The following is a PBE-GGA calculation of LaBePt3 after structural relaxation, from Alexandria.

a b c (Å): 5.954 5.954 7.161
angles (deg): 121.28 121.28 75.51
Atoms (fractional coordinates):
La 0.214 0.214 0.428
La 0.786 0.786 0.572
Be 0.306 0.306 0.001
Be 0.694 0.694 0.999
Pt 0.128 0.629 0.257
Pt 0.297 0.703 0.000
Pt 0.371 0.872 0.743
Pt 0.629 0.128 0.257
Pt 0.703 0.297 0.000
Pt 0.872 0.371 0.743

Space group: C2/m, No. 12
Uncorrected energy in Ry/atom: -0.460
ΔH_f (0 K) in kJ/mol of atoms: -87.1
Distance to the lowest polymorph of the same formula in kJ/mol of formula units: 24



Record 13
The following is a PBE-GGA calculation of LaBePt2 after structural relaxation, from Alexandria.

a b c (Å): 5.304 5.304 5.304
angles (deg): 139.89 127.32 68.21
Atoms (fractional coordinates):
La 0.000 0.000 0.000
Be 0.289 0.789 0.500
Pt 0.447 0.447 0.000
Pt 0.719 0.219 0.500

Space group: Imm2, No. 44
Uncorrected energy in Ry/atom: -0.419
ΔH_f (0 K) in kJ/mol of atoms: -50.5



Record 14
The following is a PBE-GGA calculation of LaBePt3 after structural relaxation, from Alexandria.

a b c (Å): 5.998 5.998 5.796
angles (deg): 90.00 90.00 121.24
Atoms (fractional coordinates):
La 0.244 0.756 0.750
La 0.756 0.244 0.250
Be 0.096 0.904 0.250
Be 0.904 0.096 0.750
Pt 0.257 0.257 0.000
Pt 0.257 0.257 0.500
Pt 0.312 0.688 0.250
Pt 0.688 0.312 0.750
Pt 0.743 0.743 0.000
Pt 0.743 0.743 0.500

Space group: Cmcm, No. 63
Uncorrected energy in Ry/atom: -0.463
ΔH_f (0 K) in kJ/mol of atoms: -91.2
Distance to the lowest polymorph of the same formula in kJ/mol of formula units: 3



Record 15
The following is a PBE-GGA calculation of LaBePt3 after structural relaxation, from Alexandria.

a b c (Å): 8.144 8.144 8.144
angles (deg): 141.92 141.92 54.95
Atoms (fractional coordinates):
La 0.148 0.148 0.000
La 0.852 0.852 0.000
Be 0.500 0.500 0.000
Be 0.750 0.250 0.500
Pt 0.041 0.541 0.500
Pt 0.126 0.371 0.755
Pt 0.459 0.959 0.500
Pt 0.617 0.371 0.245
Pt 0.629 0.383 0.755
Pt 0.629 0.874 0.245

Space group: I-4m2, No. 119
Uncorrected energy in Ry/atom: -0.439
ΔH_f (0 K) in kJ/mol of atoms: -59.5
Distance to the lowest polymorph of the same formula in kJ/mol of formula units: 161



Record 16
The following is a PBE-GGA calculation of LaBePt3 after structural relaxation, from Alexandria.

a b c (Å): 5.732 10.802 6.019
angles (deg): 90.00 90.00 90.00
Atoms (fractional coordinates):
La 0.000 0.000 0.000
La 0.000 0.500 0.000
La 0.500 0.000 0.500
La 0.500 0.500 0.500
Be 0.217 0.250 0.200
Be 0.283 0.750 0.700
Be 0.717 0.250 0.300
Be 0.783 0.750 0.800
Pt 0.007 0.122 0.443
Pt 0.007 0.378 0.443
Pt 0.201 0.250 0.791
Pt 0.299 0.750 0.291
Pt 0.493 0.622 0.943
Pt 0.493 0.878 0.943
Pt 0.507 0.122 0.057
Pt 0.507 0.378 0.057
Pt 0.701 0.250 0.709
Pt 0.799 0.750 0.209
Pt 0.993 0.622 0.557
Pt 0.993 0.878 0.557

Space group: Pnma, No. 62
Uncorrected energy in Ry/atom: -0.455
ΔH_f (0 K) in kJ/mol of atoms: -81.2
Distance to the lowest polymorph of the same formula in kJ/mol of formula units: 53



Record 17
The following is a PBE-GGA calculation of LaBe2Pt2 after structural relaxation, from Alexandria.

a b c (Å): 7.427 7.427 3.026
angles (deg): 90.00 90.00 90.00
Atoms (fractional coordinates):
La 0.000 0.000 0.000
La 0.500 0.500 0.000
Be 0.114 0.386 0.500
Be 0.386 0.886 0.500
Be 0.614 0.114 0.500
Be 0.886 0.614 0.500
Pt 0.140 0.640 0.000
Pt 0.360 0.140 0.000
Pt 0.640 0.860 0.000
Pt 0.860 0.360 0.000

Space group: P4/mbm, No. 127
Uncorrected energy in Ry/atom: -0.391
ΔH_f (0 K) in kJ/mol of atoms: -40.9
Distance to the lowest polymorph of the same formula in kJ/mol of formula units: 195



Record 18
The following is a PBE-GGA calculation of LaBePt after structural relaxation, from Alexandria.

a b c (Å): 4.476 4.476 4.476
angles (deg): 60.00 60.00 60.00
Atoms (fractional coordinates):
La 0.000 0.000 0.000
Be 0.750 0.750 0.750
Pt 0.500 0.500 0.500

Space group: F-43m, No. 216
Uncorrected energy in Ry/atom: -0.380
ΔH_f (0 K) in kJ/mol of atoms: -26.1
Distance to the lowest polymorph of the same formula in kJ/mol of formula units: 146



Record 19
The following is a PBE-GGA calculation of LaBePt3 after structural relaxation, from Alexandria.

a b c (Å): 7.604 7.604 6.815
angles (deg): 99.39 99.39 76.37
Atoms (fractional coordinates):
La 0.072 0.928 0.750
La 0.369 0.631 0.250
La 0.631 0.369 0.750
La 0.928 0.072 0.250
Be 0.162 0.287 0.658
Be 0.287 0.162 0.158
Be 0.713 0.838 0.842
Be 0.838 0.713 0.342
Pt 0.050 0.311 0.954
Pt 0.132 0.419 0.371
Pt 0.237 0.555 0.799
Pt 0.311 0.050 0.454
Pt 0.419 0.132 0.871
Pt 0.445 0.763 0.701
Pt 0.555 0.237 0.299
Pt 0.581 0.868 0.129
Pt 0.689 0.950 0.546
Pt 0.763 0.445 0.201
Pt 0.868 0.581 0.629
Pt 0.950 0.689 0.046

Space group: C2/c, No. 15
Uncorrected energy in Ry/atom: -0.447
ΔH_f (0 K) in kJ/mol of atoms: -70.6
Distance to the lowest polymorph of the same formula in kJ/mol of formula units: 106



Record 20
The following is a PBE-GGA calculation of LaBe4Pt4 after structural relaxation, from Alexandria.

a b c (Å): 7.812 7.812 4.447
angles (deg): 90.00 90.00 90.00
Atoms (fractional coordinates):
La 0.250 0.250 0.250
La 0.750 0.750 0.750
Be 0.055 0.907 0.156
Be 0.093 0.555 0.656
Be 0.407 0.945 0.656
Be 0.445 0.593 0.156
Be 0.555 0.407 0.844
Be 0.593 0.055 0.344
Be 0.907 0.445 0.344
Be 0.945 0.093 0.844
Pt 0.113 0.621 0.152
Pt 0.121 0.887 0.652
Pt 0.379 0.613 0.652
Pt 0.387 0.879 0.152
Pt 0.613 0.121 0.848
Pt 0.621 0.387 0.348
Pt 0.879 0.113 0.348
Pt 0.887 0.379 0.848

Space group: P4_2/n, No. 86
Uncorrected energy in Ry/atom: -0.414
ΔH_f (0 K) in kJ/mol of atoms: -72.3